Zr2MnZn: optimized geometry, PBE.

```
data_Zr2MnZn
_cell_length_a 4.5724
_cell_length_b 4.5724
_cell_length_c 3.3265
_cell_angle_alpha 90.00
_cell_angle_beta 90.00
_cell_angle_gamma 90.00
_symmetry_space_group_name_H-M 'P 4/m m m'
_symmetry_Int_Tables_number 123
_symmetry_space_group_name_Hall '-P 4 2'
loop_
_atom_site_label
_atom_site_type_symbol
_atom_site_fract_x
_atom_site_fract_y
_atom_site_fract_z
_atom_site_occupancy
Zr1 Zr 0.0000 0.5000 0.0000 1
Mn1 Mn 0.0000 0.0000 0.5000 1
Zn1 Zn 0.5000 0.5000 0.5000 1
```

## Properties
ρ (Mg/m³): 7.23
M_tot (μB per formula unit): 0.02
Formation enthalpy at 0 K (eV/atom): -0.112
DFT total energy (eV per atom): -6.9971

***

ZrMn2Zn: optimized geometry, PBE.

```
data_ZrMn2Zn
_cell_length_a 3.9859
_cell_length_b 3.9859
_cell_length_c 7.8198
_cell_angle_alpha 90.00
_cell_angle_beta 90.00
_cell_angle_gamma 90.00
_symmetry_space_group_name_H-M 'I 4/m m m'
_symmetry_Int_Tables_number 139
_symmetry_space_group_name_Hall '-I 4 2'
loop_
_atom_site_label
_atom_site_type_symbol
_atom_site_fract_x
_atom_site_fract_y
_atom_site_fract_z
_atom_site_occupancy
Zr1 Zr 0.0000 0.0000 0.0000 1
Mn1 Mn 0.0000 0.5000 0.2500 1
Zn1 Zn 0.0000 0.0000 0.5000 1
```

## Properties
ρ (Mg/m³): 7.12
M_tot (μB per formula unit): 5.25
Formation enthalpy at 0 K (eV/atom): 0.031
DFT total energy (eV per atom): -7.0091

***

ZrMn2Zn: optimized geometry, PBE.

```
data_ZrMn2Zn
_cell_length_a 2.8649
_cell_length_b 2.8649
_cell_length_c 27.6590
_cell_angle_alpha 90.00
_cell_angle_beta 90.00
_cell_angle_gamma 120.00
_symmetry_space_group_name_H-M 'R 3 m'
_symmetry_Int_Tables_number 160
_symmetry_space_group_name_Hall 'R 3 -2"'
loop_
_atom_site_label
_atom_site_type_symbol
_atom_site_fract_x
_atom_site_fract_y
_atom_site_fract_z
_atom_site_occupancy
Zr1 Zr 0.0000 0.0000 0.0000 1
Mn1 Mn 0.0000 0.0000 0.2439 1
Mn2 Mn 0.0000 0.0000 0.5019 1
Zn1 Zn 0.0000 0.0000 0.7584 1
```

## Properties
ρ (Mg/m³): 6.75
M_tot (μB per formula unit): 6.31
Formation enthalpy at 0 K (eV/atom): 0.279
DFT total energy (eV per atom): -6.7615

***

ZrMnZn2: optimized geometry, PBE.

```
data_ZrMnZn2
_cell_length_a 3.0352
_cell_length_b 3.0352
_cell_length_c 7.1390
_cell_angle_alpha 90.00
_cell_angle_beta 90.00
_cell_angle_gamma 90.00
_symmetry_space_group_name_H-M 'P 4 m m'
_symmetry_Int_Tables_number 99
loop_
_symmetry_equiv_pos_as_xyz
'x,y,z'
'-y,x,z'
'-x,-y,z'
'y,-x,z'
'-x,y,z'
'y,x,z'
'x,-y,z'
'-y,-x,z'
loop_
_atom_site_label
_atom_site_type_symbol
_atom_site_fract_x
_atom_site_fract_y
_atom_site_fract_z
_atom_site_occupancy
Zr1 Zr 0.0000 0.0000 0.0000 1
Mn1 Mn 0.5000 0.5000 0.2687 1
Zn1 Zn 0.0000 0.0000 0.4852 1
Zn2 Zn 0.5000 0.5000 0.7071 1
```

## Properties
ρ (Mg/m³): 6.99
M_tot (μB per formula unit): 3.21
Formation enthalpy at 0 K (eV/atom): -0.047
DFT total energy (eV per atom): -5.1132

***

ZrMnZn2: optimized geometry, PBE.

```
data_ZrMnZn2
_cell_length_a 2.9702
_cell_length_b 2.9702
_cell_length_c 27.0541
_cell_angle_alpha 90.00
_cell_angle_beta 90.00
_cell_angle_gamma 120.00
_symmetry_space_group_name_H-M 'R -3 m'
_symmetry_Int_Tables_number 166
_symmetry_space_group_name_Hall '-R 3 2"'
loop_
_atom_site_label
_atom_site_type_symbol
_atom_site_fract_x
_atom_site_fract_y
_atom_site_fract_z
_atom_site_occupancy
Zr1 Zr 0.0000 0.0000 0.0000 1
Mn1 Mn 0.0000 0.0000 0.5000 1
Zn1 Zn 0.0000 0.0000 0.2422 1
```

## Properties
ρ (Mg/m³): 6.68
M_tot (μB per formula unit): 3.29
Formation enthalpy at 0 K (eV/atom): 0.106
DFT total energy (eV per atom): -4.9602

***

Zr4MnZn: optimized geometry, PBE.

```
data_Zr4MnZn
_cell_length_a 4.9296
_cell_length_b 4.9296
_cell_length_c 17.9344
_cell_angle_alpha 90.00
_cell_angle_beta 90.00
_cell_angle_gamma 120.00
_symmetry_space_group_name_H-M 'R -3 m'
_symmetry_Int_Tables_number 166
_symmetry_space_group_name_Hall '-R 3 2"'
loop_
_atom_site_label
_atom_site_type_symbol
_atom_site_fract_x
_atom_site_fract_y
_atom_site_fract_z
_atom_site_occupancy
Zr1 Zr 0.0000 0.0000 0.1232 1
Zr2 Zr 0.0000 0.0000 0.3351 1
Mn1 Mn 0.0000 0.0000 0.0000 1
Zn1 Zn 0.0000 0.0000 0.5000 1
```

## Properties
ρ (Mg/m³): 6.41
Energy above the most stable polymorph in this dataset (eV per formula unit): 1.51
M_tot (μB per formula unit): 0.00
Formation enthalpy at 0 K (eV/atom): 0.145
DFT total energy (eV per atom): -7.2945